1.
{
  "formula": "Li2CoW",
  "functional": "PBE",
  "state": "optimized geometry",
  "space_group": "No. 123",
  "e_tot_ev_per_cell": -20.647,
  "lattice_angstrom": [[4.5719, 0.0000, 0.0000], [0.0000, 4.5719, 0.0000], [0.0000, 0.0000, 2.5235]],
  "species": ["Li", "Li", "Co", "W"],
  "frac_coords": [[0.0000, 0.5000, 0.0000], [0.5000, 0.0000, 0.0000], [0.0000, 0.0000, 0.5000], [0.5000, 0.5000, 0.5000]]
}



2.
{
  "formula": "Ta2MnIn",
  "functional": "PBE",
  "state": "optimized geometry",
  "space_group": "No. 99",
  "e_tot_ev_per_cell": -35.170,
  "lattice_angstrom": [[3.1038, 0.0000, 0.0000], [0.0000, 3.1038, 0.0000], [0.0000, 0.0000, 7.1655]],
  "species": ["Ta", "Ta", "Mn", "In"],
  "frac_coords": [[0.0000, 0.0000, 0.0000], [0.5000, 0.5000, 0.2752], [0.5000, 0.5000, 0.8200], [0.0000, 0.0000, 0.5725]]
}



3.
{
  "formula": "ScSiIr",
  "functional": "PBE",
  "state": "optimized geometry",
  "e_form_raw_kj_per_mol_atoms": -93.0,
  "space_group": "No. 74",
  "lattice_angstrom": [[4.9708, 0.0000, 0.0000], [0.0000, 5.4646, 0.0000], [0.0000, 0.0000, 6.9291]],
  "species": ["Sc", "Sc", "Sc", "Sc", "Si", "Si", "Si", "Si", "Ir", "Ir", "Ir", "Ir"],
  "frac_coords": [[0.0000, 0.2500, 0.1236], [0.0000, 0.7500, 0.8764], [0.5000, 0.2500, 0.3764], [0.5000, 0.7500, 0.6236], [0.2500, 0.2500, 0.7500], [0.2500, 0.7500, 0.2500], [0.7500, 0.2500, 0.7500], [0.7500, 0.7500, 0.2500], [0.0000, 0.0000, 0.5000], [0.0000, 0.5000, 0.5000], [0.5000, 0.0000, 0.0000], [0.5000, 0.5000, 0.0000]]
}



4.
{
  "formula": "DySc5Ir6",
  "functional": "PBE",
  "state": "optimized geometry",
  "space_group": "No. 65",
  "e_tot_ev_per_cell": -100.977,
  "lattice_angstrom": [[2.3097, -6.9309, 0.0000], [2.3097, 6.9309, 0.0000], [0.0000, 0.0000, 6.5216]],
  "species": ["Dy", "Sc", "Sc", "Sc", "Sc", "Sc", "Ir", "Ir", "Ir", "Ir", "Ir", "Ir"],
  "frac_coords": [[0.0000, 0.0000, 0.0000], [0.0000, 0.0000, 0.5000], [0.3316, 0.6684, 0.0000], [0.3331, 0.6669, 0.5000], [0.6669, 0.3331, 0.5000], [0.6684, 0.3316, 0.0000], [0.1698, 0.8302, 0.2543], [0.1698, 0.8302, 0.7457], [0.5000, 0.5000, 0.2596], [0.5000, 0.5000, 0.7404], [0.8302, 0.1698, 0.2543], [0.8302, 0.1698, 0.7457]]
}



5.
{
  "formula": "SrZnRe2",
  "functional": "PBE",
  "state": "optimized geometry",
  "space_group": "No. 8",
  "e_tot_ev_per_cell": -51.830,
  "lattice_angstrom": [[8.2323, 0.0000, 0.0000], [0.0000, 3.2929, 0.0000], [-1.1872, 0.0000, 6.5039]],
  "species": ["Sr", "Sr", "Zn", "Zn", "Re", "Re", "Re", "Re"],
  "frac_coords": [[0.0000, 0.0000, 0.0000], [0.5000, 0.5000, 0.0000], [0.2337, 0.0000, 0.6640], [0.7337, 0.5000, 0.6640], [0.2741, 0.5000, 0.3525], [0.4955, 0.0000, 0.4717], [0.7741, 0.0000, 0.3525], [0.9955, 0.5000, 0.4717]]
}



6.
{
  "formula": "MgTe2W",
  "functional": "PBE",
  "state": "optimized geometry",
  "e_form_raw_kj_per_mol_atoms": 67.5,
  "space_group": "No. 119",
  "lattice_angstrom": [[4.2219, 0.0000, 0.0000], [0.0000, 4.2219, 0.0000], [0.0000, 0.0000, 9.9341]],
  "species": ["Mg", "Mg", "Te", "Te", "Te", "Te", "W", "W"],
  "frac_coords": [[0.0000, 0.0000, 0.0000], [0.5000, 0.5000, 0.5000], [0.0000, 0.0000, 0.5000], [0.0000, 0.5000, 0.7500], [0.5000, 0.0000, 0.2500], [0.5000, 0.5000, 0.0000], [0.0000, 0.5000, 0.2500], [0.5000, 0.0000, 0.7500]]
}



7.
{
  "formula": "HfZrHg",
  "functional": "PBE",
  "state": "optimized geometry",
  "space_group": "No. 187",
  "e_tot_ev_per_cell": -18.376,
  "lattice_angstrom": [[4.9205, 0.0000, 0.0000], [-2.4602, 4.2612, 0.0000], [0.0000, 0.0000, 3.2356]],
  "species": ["Hf", "Zr", "Hg"],
  "frac_coords": [[0.0000, 0.0000, 0.0000], [0.6667, 0.3333, 0.5000], [0.3333, 0.6667, 0.0000]]
}



8.
{
  "formula": "Zr12TcBi6",
  "functional": "PBE",
  "state": "optimized geometry",
  "space_group": "No. 148",
  "e_tot_ev_per_cell": -136.177,
  "lattice_angstrom": [[6.2884, 3.6306, 3.6527], [-6.2884, 3.6306, 3.6527], [0.0000, -7.2612, 3.6527]],
  "species": ["Zr", "Zr", "Zr", "Zr", "Zr", "Zr", "Zr", "Zr", "Zr", "Zr", "Zr", "Zr", "Tc", "Bi", "Bi", "Bi", "Bi", "Bi", "Bi"],
  "frac_coords": [[0.0104, 0.3212, 0.0558], [0.0558, 0.0104, 0.3212], [0.2149, 0.4007, 0.5099], [0.3212, 0.0558, 0.0104], [0.4007, 0.5099, 0.2149], [0.4901, 0.7851, 0.5993], [0.5099, 0.2149, 0.4007], [0.5993, 0.4901, 0.7851], [0.6788, 0.9442, 0.9896], [0.7851, 0.5993, 0.4901], [0.9442, 0.9896, 0.6788], [0.9896, 0.6788, 0.9442], [0.0000, 0.0000, 0.0000], [0.1101, 0.6660, 0.3379], [0.3340, 0.6621, 0.8899], [0.3379, 0.1101, 0.6660], [0.6621, 0.8899, 0.3340], [0.6660, 0.3379, 0.1101], [0.8899, 0.3340, 0.6621]]
}



9.
{
  "formula": "BeCrTe4",
  "functional": "PBE",
  "state": "optimized geometry",
  "e_form_raw_kj_per_mol_atoms": 99.9,
  "space_group": "No. 216",
  "lattice_angstrom": [[0.0000, 4.4628, 4.4628], [4.4628, 0.0000, 4.4628], [4.4628, 4.4628, 0.0000]],
  "species": ["Be", "Cr", "Te", "Te", "Te", "Te"],
  "frac_coords": [[0.0000, 0.0000, 0.0000], [0.7500, 0.7500, 0.7500], [0.3748, 0.3748, 0.3748], [0.3748, 0.3748, 0.8756], [0.3748, 0.8756, 0.3748], [0.8756, 0.3748, 0.3748]]
}



10.
{
  "formula": "Li4In5Ag2",
  "functional": "PBE",
  "state": "optimized geometry",
  "space_group": "No. 12",
  "e_tot_ev_per_cell": -29.179,
  "lattice_angstrom": [[8.4144, -2.5018, 0.0000], [8.4144, 2.5018, 0.0000], [-0.7349, 0.0000, 5.2484]],
  "species": ["Li", "Li", "Li", "Li", "In", "In", "In", "In", "In", "Ag", "Ag"],
  "frac_coords": [[0.0501, 0.0501, 0.2878], [0.3269, 0.3269, 0.8887], [0.6731, 0.6731, 0.1113], [0.9499, 0.9499, 0.7122], [0.1291, 0.1291, 0.8183], [0.2389, 0.2389, 0.3382], [0.5000, 0.5000, 0.0000], [0.7611, 0.7611, 0.6618], [0.8709, 0.8709, 0.1817], [0.4140, 0.4140, 0.4607], [0.5860, 0.5860, 0.5393]]
}



11.
{
  "formula": "AlPSe4",
  "functional": "PBE",
  "state": "optimized geometry",
  "e_form_raw_kj_per_mol_atoms": 78.9,
  "space_group": "No. 216",
  "lattice_angstrom": [[0.0000, 3.9985, 3.9985], [3.9985, 0.0000, 3.9985], [3.9985, 3.9985, 0.0000]],
  "species": ["Al", "P", "Se", "Se", "Se", "Se"],
  "frac_coords": [[0.0000, 0.0000, 0.0000], [0.7500, 0.7500, 0.7500], [0.3757, 0.3757, 0.3757], [0.3757, 0.3757, 0.8729], [0.3757, 0.8729, 0.3757], [0.8729, 0.3757, 0.3757]]
}



12.
{
  "formula": "Eu2ReO5",
  "functional": "PBE",
  "state": "optimized geometry",
  "e_form_raw_kj_per_mol_atoms": -228.3,
  "space_group": "No. 85",
  "lattice_angstrom": [[8.7785, 0.0000, 0.0000], [0.0000, 8.7785, 0.0000], [0.0000, 0.0000, 5.9835]],
  "species": ["Eu", "Eu", "Eu", "Eu", "Eu", "Eu", "Eu", "Eu", "Re", "Re", "Re", "Re", "O", "O", "O", "O", "O", "O", "O", "O", "O", "O", "O", "O", "O", "O", "O", "O", "O", "O", "O", "O"],
  "frac_coords": [[0.1034, 0.8900, 0.2486], [0.1100, 0.6034, 0.7514], [0.3900, 0.8966, 0.7514], [0.3966, 0.6100, 0.2486], [0.6034, 0.3900, 0.7514], [0.6100, 0.1034, 0.2486], [0.8900, 0.3966, 0.2486], [0.8966, 0.1100, 0.7514], [0.2500, 0.2500, 0.1440], [0.2500, 0.2500, 0.5461], [0.7500, 0.7500, 0.4539], [0.7500, 0.7500, 0.8560], [0.0573, 0.1605, 0.0907], [0.0570, 0.3384, 0.6052], [0.1605, 0.4427, 0.0907], [0.1616, 0.0570, 0.6052], [0.2500, 0.7500, 0.0000], [0.2500, 0.7500, 0.5000], [0.3384, 0.4430, 0.6052], [0.3395, 0.0573, 0.0907], [0.4430, 0.1616, 0.6052], [0.4427, 0.3395, 0.0907], [0.5573, 0.6605, 0.9093], [0.5570, 0.8384, 0.3948], [0.6605, 0.9427, 0.9093], [0.6616, 0.5570, 0.3948], [0.7500, 0.2500, 0.0000], [0.7500, 0.2500, 0.5000], [0.8384, 0.9430, 0.3948], [0.8395, 0.5573, 0.9093], [0.9430, 0.6616, 0.3948], [0.9427, 0.8395, 0.9093]]
}